Computed, not measured: a relaxed structure of PmHoPuO6 at the PBE level of DFT.

Unit cell a=5.7472 b=5.7472 c=9.6980 alpha=90.00 beta=90.00 gamma=120.00
Space group P-31c (No. 163)
Inequivalent atoms, fractional coordinates:
Pm  0.0000  0.0000  0.0000
Ho  0.3333  0.6667  0.2500
Pu  0.3333  0.6667  0.7500
O  0.0242  0.3623  0.6363

Computed properties:
formation energy (no corrections) = -27.48 eV per formula unit
theoretical density = 7.78 g/cm³
D(E_F) = 15.24 states/eV/cell
volume = 15.41 Å³/atom
total magnetization = 2.00 μB per formula unit

Computed, not measured: a relaxed structure of Pm2HoPuO8 at the PBE level of DFT.

Unit cell a=3.976 b=5.520 c=7.521 alpha=88.39 beta=89.58 gamma=84.02
Space group P-1 (No. 2)
Inequivalent atoms, fractional coordinates:
Pm  0.000  0.012  0.240
Ho  0.500  0.500  0.000
Pu  0.500  0.500  0.500
O  0.012  0.746  0.011
O  0.070  0.717  0.503
O  0.450  0.282  0.716
O  0.461  0.258  0.268

Computed properties:
formation energy (no corrections) = -36.23 eV per formula unit
theoretical density = 8.37 g/cm³
D(E_F) = 1.51 states/eV/cell
volume = 13.67 Å³/atom
total magnetization = 0.99 μB per formula unit